Compound: Rb2VSeO6
Source: Alexandria
Functional: GGA+U
Structure: relaxed

abc: 5.467 5.467 6.368
angles: 64.59 64.59 90.00
Sites, in units of the cell vectors:
O1 0.826 0.826 0.349
O2 0.261 0.739 0.000
Rb1 0.750 0.250 0.500
O3 0.174 0.174 0.651
Se1 0.500 0.500 0.000
V1 0.000 0.000 0.000
O4 0.261 0.261 0.000
O5 0.739 0.739 0.000
O6 0.739 0.261 0.000
Rb2 0.250 0.750 0.500

Summary:
**Energy**: -54.24 eV/cell
**DOS at the Fermi energy**: 5.1 states/eV/f.u.